Sr2ZnCoO4: relaxed, GGA+U.

Values from the calculation:
- total DFT energy (no corrections) (eV/cell) = -86.73
- ρ (g/cm³) = 5.4

Cell and atoms, written as CIF:
```
data_Sr2ZnCoO4
_chemical_formula_sum 'Sr4 Zn2 Co2 O8'
_cell_length_a 5.890
_cell_length_b 5.890
_cell_length_c 6.416
_cell_angle_alpha 90.00
_cell_angle_beta 90.00
_cell_angle_gamma 90.00
_space_group_name_H-M_alt 'I -4'
_space_group_IT_number 82
loop_
_space_group_symop_operation_xyz
'x,y,z'
'y,-x,-z'
'-x,-y,z'
'-y,x,-z'
'x+1/2,y+1/2,z+1/2'
'y+1/2,-x+1/2,-z+1/2'
'-x+1/2,-y+1/2,z+1/2'
'-y+1/2,x+1/2,-z+1/2'
loop_
_atom_site_label
_atom_site_type_symbol
_atom_site_fract_x
_atom_site_fract_y
_atom_site_fract_z
Sr1 Sr 0.000 0.000 0.000
Sr2 Sr 0.000 0.500 0.250
Zn1 Zn 0.000 0.000 0.500
Co1 Co 0.000 0.500 0.750
O1 O 0.166 0.231 0.679
```